Entry 1:
Density functional theory data (PBE) for crystalline CeGeRh2 at its relaxed geometry.

POSCAR file:
```
CeGeRh2
1.0
4.677 0.000 -1.943
0.000 4.362 0.000
-0.856 0.000 7.557
Ce Ge Rh
2 2 4
Direct
0.951 0.250 0.777
0.049 0.750 0.223
0.398 0.750 0.719
0.602 0.250 0.281
0.200 0.250 0.510
0.800 0.750 0.490
0.598 0.250 0.931
0.402 0.750 0.069
```

Electronic total energy = -7.092 eV per atom
Total magnetization = 0.0 μB/f.u.
Energy of formation = -0.779 eV per atom
N(E_F) = 5.1 states/eV/cell
Space-group type = P2_1/m


Entry 2:
Density functional theory data (PBE) for crystalline CeGe2Rh2 at its relaxed geometry.

POSCAR file:
```
CeGe2Rh2
1.0
4.248 0.000 0.000
0.000 4.248 0.000
0.000 0.000 10.122
Ce Ge Rh
2 4 4
Direct
0.500 0.000 0.257
0.000 0.500 0.743
0.500 0.500 0.500
0.000 0.000 0.500
0.000 0.500 0.130
0.500 0.000 0.870
0.000 0.500 0.371
0.500 0.000 0.629
0.500 0.500 0.000
0.000 0.000 0.000
```

Electronic total energy = -6.839 eV per atom
Total magnetization = 0.5 μB/f.u.
Energy of formation = -0.865 eV per atom
N(E_F) = 9.2 states/eV/cell
Space-group type = P4/nmm


Entry 3:
Density functional theory data (PBE) for crystalline Ce2Ge4Rh3 at its relaxed geometry.

POSCAR file:
```
Ce2Ge4Rh3
1.0
-2.368 0.774 -5.050
-1.874 -4.015 3.476
-1.820 5.586 3.243
Ce Ge Rh
2 4 3
Direct
0.628 0.628 0.257
0.372 0.372 0.743
0.006 0.671 0.676
0.671 0.006 0.676
0.994 0.329 0.324
0.329 0.994 0.324
0.500 0.000 0.000
0.000 0.000 0.000
0.000 0.500 0.000
```

Electronic total energy = -6.523 eV per atom
Total magnetization = 0.9 μB/f.u.
Energy of formation = -0.702 eV per atom
E above lowest polymorph = 0.107 eV/atom
N(E_F) = 10.3 states/eV/cell
Space-group type = Fmmm


Entry 4:
Density functional theory data (PBE) for crystalline Ce2Ge7Rh12 at its relaxed geometry.

POSCAR file:
```
Ce2Ge7Rh12
1.0
3.918 0.000 0.000
0.000 8.658 -4.999
0.000 0.000 9.997
Ce Ge Rh
2 7 12
Direct
0.500 0.000 0.000
0.000 0.667 0.333
0.000 0.333 0.667
0.000 0.048 0.778
0.000 0.730 0.952
0.000 0.222 0.270
0.500 0.627 0.560
0.500 0.933 0.373
0.500 0.440 0.067
0.500 0.892 0.604
0.500 0.712 0.108
0.500 0.396 0.288
0.500 0.221 0.797
0.500 0.577 0.779
0.500 0.203 0.423
0.000 0.058 0.539
0.000 0.481 0.942
0.000 0.461 0.519
0.000 0.781 0.734
0.000 0.953 0.219
0.000 0.266 0.047
```

Electronic total energy = -7.009 eV per atom
Total magnetization = 0.7 μB/f.u.
Energy of formation = -0.704 eV per atom
N(E_F) = 16.6 states/eV/cell
Space-group type = P-6


Entry 5:
Density functional theory data (PBE) for crystalline Ce5Ge2Rh at its relaxed geometry.

POSCAR file:
```
Ce5Ge2Rh
1.0
7.784 0.000 0.000
0.000 8.789 0.000
0.000 0.000 11.734
Ge Rh Ce
8 4 20
Direct
0.580 0.493 0.324
0.080 0.507 0.176
0.420 0.993 0.676
0.920 0.007 0.824
0.420 0.507 0.676
0.920 0.493 0.824
0.580 0.007 0.324
0.080 0.993 0.176
0.600 0.750 0.023
0.100 0.250 0.477
0.400 0.250 0.977
0.900 0.750 0.523
0.712 0.454 0.066
0.212 0.546 0.434
0.288 0.954 0.934
0.788 0.046 0.566
0.288 0.546 0.934
0.788 0.454 0.566
0.712 0.046 0.066
0.212 0.954 0.434
0.998 0.750 0.996
0.498 0.250 0.504
0.002 0.250 0.004
0.502 0.750 0.496
0.374 0.750 0.200
0.874 0.250 0.300
0.626 0.250 0.800
0.126 0.750 0.700
0.845 0.750 0.287
0.345 0.250 0.213
0.155 0.250 0.713
0.655 0.750 0.787
```

Electronic total energy = -6.405 eV per atom
Total magnetization = 3.6 μB/f.u.
Energy of formation = -0.624 eV per atom
E above lowest polymorph = 0.000 eV/atom
N(E_F) = 84.9 states/eV/cell
Space-group type = Pnma


Entry 6:
Density functional theory data (PBE) for crystalline CeGeRh at its relaxed geometry.

POSCAR file:
```
CeGeRh
1.0
5.400 0.000 0.000
0.000 5.616 0.000
0.000 0.000 7.363
Ce Ge Rh
4 4 4
Direct
0.750 0.500 0.889
0.250 0.000 0.389
0.250 0.500 0.111
0.750 0.000 0.611
0.000 0.000 0.000
0.500 0.500 0.500
0.000 0.500 0.500
0.500 0.000 0.000
0.750 0.250 0.250
0.250 0.250 0.750
0.250 0.750 0.750
0.750 0.750 0.250
```

Electronic total energy = -6.748 eV per atom
Total magnetization = 0.5 μB/f.u.
Energy of formation = -0.780 eV per atom
N(E_F) = 17.9 states/eV/cell
Space-group type = Imma


Entry 7:
Density functional theory data (PBE) for crystalline Ce4Ge2Rh at its relaxed geometry.

POSCAR file:
```
Ce4Ge2Rh
1.0
-2.110 -0.179 -3.836
5.159 -1.308 -2.777
-1.491 -5.712 1.087
Ge Rh Ce
2 1 4
Direct
0.000 0.679 0.321
0.000 0.321 0.679
0.500 0.500 0.500
0.000 0.831 0.831
0.000 0.169 0.169
0.500 0.000 0.500
0.500 0.500 0.000
```

Electronic total energy = -6.310 eV per atom
Total magnetization = 1.6 μB/f.u.
Energy of formation = -0.549 eV per atom
E above lowest polymorph = 0.000 eV/atom
N(E_F) = 13.7 states/eV/cell
Space-group type = Cmmm


Entry 8:
Density functional theory data (PBE) for crystalline Ce2Ge3Rh at its relaxed geometry.

POSCAR file:
```
Ce2Ge3Rh
1.0
5.657 0.797 -1.551
-1.490 5.515 -1.551
-0.548 -0.830 8.345
Ce Ge Rh
4 6 2
Direct
0.250 0.750 0.500
0.744 0.744 0.000
0.750 0.250 0.500
0.256 0.256 0.000
0.666 0.166 0.832
0.834 0.334 0.168
0.334 0.834 0.168
0.166 0.666 0.832
0.832 0.832 0.663
0.168 0.168 0.337
0.335 0.335 0.670
0.665 0.665 0.330
```

Electronic total energy = -6.303 eV per atom
Total magnetization = 1.2 μB/f.u.
Energy of formation = -0.791 eV per atom
E above lowest polymorph = 0.000 eV/atom
N(E_F) = 20.8 states/eV/cell
Space-group type = Fmmm


Entry 9:
Density functional theory data (PBE) for crystalline Ce6Ge2Rh at its relaxed geometry.

POSCAR file:
```
Ce6Ge2Rh
1.0
-2.203 -1.863 2.520
5.792 0.847 5.688
-5.774 5.709 -0.825
Ce Ge Rh
6 2 1
Direct
0.500 0.579 0.000
0.500 0.421 0.421
0.500 0.000 0.579
0.000 0.260 0.000
0.000 0.740 0.740
0.000 0.000 0.260
0.000 0.333 0.667
0.000 0.667 0.333
0.500 0.000 0.000
```

Electronic total energy = -6.347 eV per atom
Total magnetization = 1.7 μB/f.u.
Energy of formation = -0.548 eV per atom
N(E_F) = 21.2 states/eV/cell
Space-group type = P-62m


Entry 10:
Density functional theory data (PBE) for crystalline Ce5GeRh5 at its relaxed geometry.

POSCAR file:
```
Ce5GeRh5
1.0
-0.075 -5.132 -1.448
5.328 1.812 3.121
-6.437 -1.535 5.777
Ce Ge Rh
5 1 5
Direct
0.668 0.335 0.322
0.681 0.362 0.848
0.000 0.000 0.500
0.319 0.638 0.152
0.332 0.665 0.678
0.000 0.000 0.000
0.873 0.745 0.181
0.860 0.720 0.685
0.500 0.000 0.000
0.140 0.280 0.315
0.127 0.255 0.819
```

Electronic total energy = -7.020 eV per atom
Total magnetization = 1.7 μB/f.u.
Energy of formation = -0.562 eV per atom
N(E_F) = 18.9 states/eV/cell
Space-group type = C2/m


Entry 11:
Density functional theory data (PBE) for crystalline Ce2GeRh5 at its relaxed geometry.

POSCAR file:
```
Ce2GeRh5
1.0
-3.355 2.110 1.138
-0.124 -2.918 5.044
6.565 7.891 4.727
Ce Ge Rh
4 2 10
Direct
0.500 0.314 0.360
0.500 0.686 0.640
0.500 0.186 0.860
0.500 0.814 0.140
0.000 0.000 0.500
0.000 0.500 0.000
0.500 0.307 0.106
0.500 0.693 0.894
0.500 0.807 0.394
0.500 0.193 0.606
0.000 0.940 0.741
0.000 0.060 0.259
0.000 0.440 0.759
0.000 0.560 0.241
0.000 0.500 0.500
0.000 0.000 0.000
```

Electronic total energy = -7.438 eV per atom
Total magnetization = 0.0 μB/f.u.
Energy of formation = -0.782 eV per atom
N(E_F) = 8.3 states/eV/cell
Space-group type = Pbam


Entry 12:
Density functional theory data (PBE) for crystalline CeGeRh at its relaxed geometry.

POSCAR file:
```
CeGeRh
1.0
3.801 0.000 0.000
0.000 3.801 0.000
-1.901 -1.901 4.456
Ge Rh Ce
1 1 1
Direct
0.963 0.963 0.925
0.248 0.248 0.496
0.640 0.640 0.279
```

Electronic total energy = -6.423 eV per atom
Total magnetization = 0.0 μB/f.u.
Energy of formation = -0.456 eV per atom
N(E_F) = 2.5 states/eV/cell
Space-group type = I4mm


Entry 13:
Density functional theory data (PBE) for crystalline CeGeRh at its relaxed geometry.

POSCAR file:
```
CeGeRh
1.0
-3.316 -0.878 -2.705
-3.508 -3.851 5.548
-6.544 11.937 4.147
Ce Ge Rh
8 8 8
Direct
0.500 0.801 0.748
0.000 0.262 0.500
0.500 0.691 0.500
0.000 0.309 0.000
0.000 0.199 0.752
0.000 0.199 0.248
0.500 0.738 0.000
0.500 0.801 0.252
0.000 0.888 0.597
0.000 0.599 0.859
0.500 0.401 0.359
0.000 0.599 0.141
0.500 0.401 0.641
0.000 0.888 0.403
0.500 0.112 0.097
0.500 0.112 0.903
0.000 0.936 0.115
0.000 0.936 0.885
0.500 0.433 0.828
0.000 0.567 0.328
0.500 0.433 0.172
0.500 0.064 0.385
0.500 0.064 0.615
0.000 0.567 0.672
```

Electronic total energy = -6.899 eV per atom
Total magnetization = 0.1 μB/f.u.
Energy of formation = -0.932 eV per atom
N(E_F) = 20.6 states/eV/cell
Space-group type = Pmmn


Entry 14:
Density functional theory data (PBE) for crystalline CeGe2RuRh at its relaxed geometry.

POSCAR file:
```
CeGe2RuRh
1.0
-2.929 2.829 -1.141
-3.038 -2.567 1.437
3.309 2.063 4.459
Ce Ge Ru Rh
1 2 1 1
Direct
0.000 0.000 0.000
0.627 0.627 0.254
0.373 0.373 0.746
0.750 0.250 0.500
0.250 0.750 0.500
```

Electronic total energy = -7.131 eV per atom
Total magnetization = 0.7 μB/f.u.
Energy of formation = -0.771 eV per atom
N(E_F) = 4.8 states/eV/cell
Space-group type = I-4m2


Entry 15:
Density functional theory data (PBE) for crystalline Ce2Ge4RuRh3 at its relaxed geometry.

POSCAR file:
```
Ce2Ge4RuRh3
1.0
4.291 0.000 0.000
0.000 4.291 0.000
0.000 0.000 9.927
Ce Ge Ru Rh
2 4 1 3
Direct
0.500 0.000 0.249
0.000 0.500 0.751
0.500 0.500 0.000
0.000 0.000 0.000
0.500 0.000 0.627
0.000 0.500 0.373
0.500 0.500 0.500
0.000 0.000 0.500
0.500 0.000 0.873
0.000 0.500 0.127
```

Electronic total energy = -6.974 eV per atom
Total magnetization = 1.1 μB/f.u.
Energy of formation = -0.807 eV per atom
N(E_F) = 10.2 states/eV/cell
Space-group type = P-4m2


Entry 16:
Density functional theory data (PBE) for crystalline Ce2GeSbRh6 at its relaxed geometry.

POSCAR file:
```
Ce2GeSbRh6
1.0
-5.143 1.044 -1.781
-2.358 -7.922 2.169
-5.546 -4.293 4.879
Ce Ge Sb Rh
2 1 1 6
Direct
0.791 0.208 0.418
0.209 0.792 0.582
0.500 0.500 0.000
0.000 0.000 0.000
0.254 0.241 0.493
0.755 0.743 0.993
0.253 0.743 0.993
0.747 0.257 0.007
0.245 0.257 0.007
0.746 0.759 0.507
```

Electronic total energy = -6.983 eV per atom
Total magnetization = 0.0 μB/f.u.
N(E_F) = 7.0 states/eV/cell
Space-group type = C2/m


Entry 17:
Density functional theory data (PBE) for crystalline Ce3GeSb2Rh8 at its relaxed geometry.

POSCAR file:
```
Ce3GeSb2Rh8
1.0
5.531 0.000 0.000
-2.765 4.790 0.000
0.000 0.000 9.800
Ce Ge Sb Rh
3 1 2 8
Direct
0.333 0.667 0.562
0.667 0.333 0.438
0.000 0.000 0.000
0.000 0.000 0.500
0.333 0.667 0.087
0.667 0.333 0.913
0.333 0.667 0.816
0.667 0.333 0.184
0.164 0.836 0.295
0.836 0.164 0.705
0.164 0.328 0.295
0.836 0.672 0.705
0.672 0.836 0.295
0.328 0.164 0.705
```

Electronic total energy = -7.026 eV per atom
Total magnetization = 0.6 μB/f.u.
N(E_F) = 11.8 states/eV/cell
Space-group type = P-3m1


Entry 18:
Density functional theory data (PBE) for crystalline Ce2Ge3SbRh4 at its relaxed geometry.

POSCAR file:
```
Ce2Ge3SbRh4
1.0
4.291 0.000 0.000
0.000 4.291 0.000
0.000 0.000 10.362
Ce Ge Sb Rh
2 3 1 4
Direct
0.500 0.000 0.245
0.000 0.500 0.755
0.000 0.000 0.500
0.500 0.000 0.874
0.000 0.500 0.126
0.500 0.500 0.500
0.500 0.500 0.000
0.000 0.000 0.000
0.500 0.000 0.639
0.000 0.500 0.361
```

Electronic total energy = -6.743 eV per atom
Total magnetization = 1.4 μB/f.u.
N(E_F) = 9.9 states/eV/cell
Space-group type = P-4m2


Entry 19:
Density functional theory data (PBE) for crystalline CeScGe2Rh5 at its relaxed geometry.

POSCAR file:
```
CeScGe2Rh5
1.0
4.134 0.000 0.000
0.000 4.134 0.000
0.000 0.000 8.975
Ce Sc Ge Rh
1 1 2 5
Direct
0.000 0.000 0.500
0.000 0.000 0.000
0.500 0.500 0.135
0.500 0.500 0.865
0.000 0.500 0.269
0.500 0.000 0.269
0.000 0.500 0.731
0.500 0.000 0.731
0.500 0.500 0.500
```

Electronic total energy = -7.168 eV per atom
Total magnetization = 0.0 μB/f.u.
Energy of formation = -0.694 eV per atom
N(E_F) = 5.0 states/eV/cell
Space-group type = P4/mmm


Entry 20:
Density functional theory data (PBE) for crystalline Ce2ScGe4Rh3 at its relaxed geometry.

POSCAR file:
```
Ce2ScGe4Rh3
1.0
-2.523 -3.317 0.440
3.294 -2.559 -0.405
1.540 0.268 10.840
Ce Sc Ge Rh
2 1 4 3
Direct
0.500 0.000 0.233
0.000 0.500 0.767
0.500 0.500 0.500
0.500 0.500 0.000
0.000 0.000 0.000
0.500 0.000 0.654
0.000 0.500 0.346
0.000 0.000 0.500
0.500 0.000 0.878
0.000 0.500 0.122
```

Electronic total energy = -6.703 eV per atom
Total magnetization = 0.5 μB/f.u.
Energy of formation = -0.830 eV per atom
N(E_F) = 9.8 states/eV/cell
Space-group type = P-4m2


Entry 21:
Density functional theory data (PBE) for crystalline CeSiGe2Rh2 at its relaxed geometry.

POSCAR file:
```
CeSiGe2Rh2
1.0
-2.902 0.827 3.354
0.270 -4.313 1.296
4.244 1.275 3.358
Ce Si Ge Rh
1 1 2 2
Direct
0.000 0.000 0.500
0.000 0.000 0.000
0.500 0.500 0.731
0.500 0.500 0.269
0.500 0.000 0.000
0.000 0.500 0.000
```

Electronic total energy = -6.339 eV per atom
Total magnetization = 1.0 μB/f.u.
N(E_F) = 7.2 states/eV/cell
Space-group type = P4/mmm